(1)
A relaxed NaYSc2Cr crystal. Source: Alexandria, functional PBE-GGA.

abc: 5.5540 4.5827 5.5540
angles: 90.00 90.00 90.00
Last column: nearest neighbours and their distance in Å.
Fractional positions:
Na: 0.5000 0.5000 0.5000  8 Sc 3.60, 4 Cr 3.93
Y: 0.0000 0.0000 0.0000  2 Cr 2.29
Cr: 0.0000 0.5000 0.0000  2 Y 2.29
Sc: 0.5000 0.0000 0.0000  2 Y 2.78
Sc: 0.0000 0.0000 0.5000  2 Y 2.78

## Properties
- density (kg/m³) = 2981
- crystal system = tetragonal
- spin magnetization (μB/cell) = 0.0
- DFT total energy (eV for the cell shown) = -23.3

=====

(2)
A relaxed SnAsSe2Br crystal. Source: Alexandria, functional PBE-GGA.

abc: 5.1951 5.1951 5.6500
angles: 90.00 90.00 90.00
Last column: nearest neighbours and their distance in Å.
Fractional positions:
Br: 0.5000 0.5000 0.5000  4 As 3.67, 8 Se 3.84
As: 0.0000 0.0000 0.5000  2 Sn 2.82
Sn: 0.0000 0.0000 0.0000  4 Se 2.60, 2 As 2.82
Se: 0.5000 0.0000 0.0000  2 Sn 2.60
Se: 0.0000 0.5000 0.0000  2 Sn 2.60

## Properties
- density (kg/m³) = 4698
- crystal system = tetragonal
- spin magnetization (μB/cell) = 0.5
- ΔE_f (raw) (eV per atom) = 0.604
- DFT total energy (eV for the cell shown) = -14.3

=====

(3)
A relaxed BaYMg4 crystal. Source: Alexandria, functional PBE-GGA.

abc: 6.2999 6.2999 6.2999
angles: 60.00 60.00 60.00
Last column: nearest neighbours and their distance in Å.
Fractional positions:
Ba: 0.0000 0.0000 0.0000  12 Mg 3.70, 4 Y 3.86
Mg: 0.6239 0.6239 0.6239  6 Mg 3.12-3.18
Mg: 0.6239 0.6239 0.1284  6 Mg 3.12-3.18
Mg: 0.6239 0.1284 0.6239  6 Mg 3.12-3.18
Mg: 0.1284 0.6239 0.6239  6 Mg 3.12-3.18
Y: 0.2500 0.2500 0.2500  12 Mg 3.69, 4 Ba 3.86

## Properties
- density (kg/m³) = 3038
- crystal system = cubic
- spin magnetization (μB/cell) = 0.0
- DFT total energy (eV for the cell shown) = -15.0

=====

(4)
A relaxed CaFe2Tc crystal. Source: Alexandria, functional PBE-GGA.

abc: 2.8049 4.6801 4.6801
angles: 90.00 90.00 90.00
Last column: nearest neighbours and their distance in Å.
Fractional positions:
Ca: 0.5000 0.0000 0.5000  8 Fe 2.73, 2 Ca 2.80
Fe: 0.0000 0.5000 0.5000  4 Tc 2.73, 4 Ca 2.73, 2 Fe 2.80
Fe: 0.0000 0.0000 0.0000  4 Tc 2.73, 4 Ca 2.73, 2 Fe 2.80
Tc: 0.5000 0.5000 0.0000  8 Fe 2.73, 2 Tc 2.80

## Properties
- density (kg/m³) = 6751
- crystal system = tetragonal
- spin magnetization (μB/cell) = 4.5
- DFT total energy (eV for the cell shown) = -26.9

=====

(5)
A relaxed Er3ScSn2 crystal. Source: Alexandria, functional PBE-GGA.

abc: 6.2944 6.2873 9.3493
angles: 109.65 109.67 90.00
Last column: nearest neighbours and their distance in Å.
Fractional positions:
Er: 0.9217 0.1719 0.3439  5 Sn 3.14-3.24
Sn: 0.8935 0.6370 0.2740  7 Er 3.14-3.24, 2 Sc 3.15
Er: 0.5779 0.3281 0.6561  5 Sn 3.14-3.24
Er: 0.4221 0.6719 0.3439  5 Sn 3.14-3.24
Sn: 0.3805 0.1370 0.2740  7 Er 3.14-3.24, 2 Sc 3.15
Er: 0.5000 0.2500 0.0000  2 Er 3.14, 2 Sc 3.15, 4 Sn 3.19
Sn: 0.6195 0.8630 0.7260  7 Er 3.14-3.24, 2 Sc 3.15
Sn: 0.1065 0.3630 0.7260  7 Er 3.14-3.24, 2 Sc 3.15
Er: 0.5000 0.7500 0.0000  2 Er 3.14, 2 Sc 3.15, 4 Sn 3.19
Sc: 0.0000 0.7500 0.0000  2 Sc 3.14, 4 Sn 3.15, 2 Er 3.15
Sc: 0.0000 0.2500 0.0000  2 Sc 3.14, 4 Sn 3.15, 2 Er 3.15
Er: 0.0783 0.8281 0.6561  5 Sn 3.14-3.24

## Properties
- density (kg/m³) = 8002
- crystal system = orthorhombic
- spin magnetization (μB/cell) = 0.0
- DFT total energy (eV for the cell shown) = -63.0

=====

(6)
A relaxed Ce3Tl2In3Co crystal. Source: Alexandria, functional PBE-GGA.

abc: 4.5327 7.6525 7.6525
angles: 120.00 90.00 90.00
Last column: nearest neighbours and their distance in Å.
Fractional positions:
In: 0.5000 0.7698 0.0000  2 Co 2.87, 2 Tl 3.02, 2 In 3.05
Ce: 0.0000 0.0000 0.3789  1 Co 2.90
Co: 0.0000 0.0000 0.0000  6 In 2.87, 3 Ce 2.90
Tl: 0.5000 0.6667 0.3333  3 In 3.02, 6 Ce 3.30
Ce: 0.0000 0.3789 0.0000  1 Co 2.90
Ce: 0.0000 0.6211 0.6211  1 Co 2.90
In: 0.5000 0.0000 0.7698  2 Co 2.87, 2 Tl 3.02, 2 In 3.05
Tl: 0.5000 0.3333 0.6667  3 In 3.02, 6 Ce 3.30
In: 0.5000 0.2302 0.2302  2 Co 2.87, 2 Tl 3.02, 2 In 3.05

## Properties
- density (kg/m³) = 8903
- crystal system = hexagonal
- spin magnetization (μB/cell) = 2.1
- DFT total energy (eV for the cell shown) = -40.2

=====

(7)
A relaxed YErBe2 crystal. Source: Alexandria, functional PBE-GGA.

abc: 3.4138 4.7955 4.7955
angles: 90.00 90.00 90.00
Last column: nearest neighbours and their distance in Å.
Fractional positions:
Be: 0.0000 0.5000 0.0000  4 Er 2.94, 4 Y 2.94
Y: 0.5000 0.0000 0.0000  8 Be 2.94
Er: 0.5000 0.5000 0.5000  8 Be 2.94
Be: 0.0000 0.0000 0.5000  4 Er 2.94, 4 Y 2.94

## Properties
- density (kg/m³) = 5799
- crystal system = tetragonal
- spin magnetization (μB/cell) = 0.0
- DFT total energy (eV for the cell shown) = -18.1

=====

(8)
A relaxed LaPr5Ho5 crystal. Source: Alexandria, functional PBE-GGA.

abc: 6.1819 6.1819 11.8884
angles: 90.00 90.00 120.00
Last column: nearest neighbours and their distance in Å.
Fractional positions:
Ho: 0.0000 0.0000 0.7335  1 Pr 3.17, 3 Ho 3.30
Ho: 0.8339 0.1661 0.5000  6 Ho 3.08-3.30
Pr: 0.0000 0.0000 0.0000  2 Ho 3.17
Ho: 0.8339 0.6677 0.5000  6 Ho 3.08-3.30
Pr: 0.6667 0.3333 0.8428  7 Pr 3.74-4.07, 3 Ho 3.80, 3 La 4.03
Pr: 0.6667 0.3333 0.1572  7 Pr 3.74-4.07, 3 Ho 3.80, 3 La 4.03
Ho: 0.3323 0.1661 0.5000  6 Ho 3.08-3.30
Ho: 0.0000 0.0000 0.2665  1 Pr 3.17, 3 Ho 3.30
La: 0.3333 0.6667 0.0000  5 Pr 3.57-3.82
Pr: 0.3333 0.6667 0.3212  9 Ho 3.63-3.75, 1 La 3.82
Pr: 0.3333 0.6667 0.6788  9 Ho 3.63-3.75, 1 La 3.82

## Properties
- density (kg/m³) = 7040
- crystal system = hexagonal
- spin magnetization (μB/cell) = 0.0
- DFT total energy (eV for the cell shown) = -48.7

=====

(9)
A relaxed SbOs2Au crystal. Source: Alexandria, functional PBE-GGA.

abc: 4.1711 3.0431 5.6442
angles: 73.48 90.00 90.00
Last column: nearest neighbours and their distance in Å.
Fractional positions:
Os: 0.0000 0.3812 0.4991  2 Sb 2.61, 1 Os 2.72, 4 Au 2.92
Os: 0.0000 0.1188 0.0009  2 Sb 2.61, 1 Os 2.72, 4 Au 2.92
Au: 0.5000 0.7500 0.7500  2 Sb 2.80, 8 Os 2.92, 2 Au 3.04
Sb: 0.5000 0.2500 0.2500  4 Os 2.61, 2 Au 2.80

## Properties
- density (kg/m³) = 16904
- crystal system = monoclinic
- spin magnetization (μB/cell) = 0.0
- ΔE_f (raw) (eV per atom) = 0.743
- DFT total energy (eV for the cell shown) = -26.9

=====

(10)
A relaxed Tb4HgRu crystal. Source: Alexandria, functional PBE-GGA.

abc: 9.6143 9.6142 9.6142
angles: 60.00 60.00 60.00
Last column: nearest neighbours and their distance in Å.
Fractional positions:
Tb: 0.8113 0.8113 0.1887  2 Hg 3.21, 6 Tb 3.46-3.59, 2 Ru 3.46
Tb: 0.9406 0.9406 0.5594  2 Ru 2.76
Ru: 0.6112 0.6112 0.1663  6 Tb 2.76-2.85
Tb: 0.8113 0.1887 0.8113  2 Hg 3.21, 6 Tb 3.46-3.59, 2 Ru 3.46
Tb: 0.1887 0.8113 0.8113  2 Hg 3.21, 6 Tb 3.46-3.59, 2 Ru 3.46
Hg: 0.1663 0.1663 0.5012  9 Tb 3.21-3.47, 3 Hg 3.22
Tb: 0.4023 0.4023 0.7930  3 Ru 2.85
Ru: 0.6112 0.6112 0.6112  6 Tb 2.76-2.85
Tb: 0.1887 0.1887 0.8113  2 Hg 3.21, 6 Tb 3.46-3.59, 2 Ru 3.46
Tb: 0.4023 0.4023 0.4023  3 Ru 2.85
Tb: 0.7930 0.4023 0.4023  3 Ru 2.85
Hg: 0.1663 0.5012 0.1663  9 Tb 3.21-3.47, 3 Hg 3.22
Tb: 0.9406 0.5594 0.5594  2 Ru 2.76
Ru: 0.6112 0.1663 0.6112  6 Tb 2.76-2.85
Hg: 0.1663 0.1663 0.1663  9 Tb 3.21-3.47, 3 Hg 3.22
Tb: 0.8113 0.1887 0.1887  2 Hg 3.21, 6 Tb 3.46-3.59, 2 Ru 3.46
Tb: 0.5594 0.5594 0.9406  2 Ru 2.76
Ru: 0.1663 0.6112 0.6112  6 Tb 2.76-2.85
Tb: 0.5594 0.9406 0.9406  2 Ru 2.76
Hg: 0.5012 0.1663 0.1663  9 Tb 3.21-3.47, 3 Hg 3.22
Tb: 0.5594 0.9406 0.5594  2 Ru 2.76
Tb: 0.9406 0.5594 0.9406  2 Ru 2.76
Tb: 0.4023 0.7930 0.4023  3 Ru 2.85
Tb: 0.1887 0.8113 0.1887  2 Hg 3.21, 6 Tb 3.46-3.59, 2 Ru 3.46

## Properties
- density (kg/m³) = 9908
- crystal system = cubic
- spin magnetization (μB/cell) = 0.0
- DFT total energy (eV for the cell shown) = -121.4

=====

(11)
A relaxed BaAsAu crystal. Source: Alexandria, functional PBE-GGA.

abc: 7.6679 6.3189 4.7556
angles: 112.08 72.02 92.40
Last column: nearest neighbours and their distance in Å.
Fractional positions:
Au: 0.4611 0.2242 0.9663  2 As 2.48-2.49
As: 0.1664 0.4686 0.2366  3 Au 2.48-2.71
Au: 0.0370 0.3288 0.7312  3 As 2.71-2.74
Ba: 0.6966 0.4551 0.4640  4 Au 3.29-3.47, 4 As 3.40-3.50
Ba: 0.0872 0.8922 0.9881  5 As 3.33-3.47, 4 Au 3.35-3.49
As: 0.7751 0.0196 0.7073  2 Au 2.49-2.74

## Properties
- density (kg/m³) = 6715
- crystal system = triclinic
- spin magnetization (μB/cell) = 0.0
- DFT total energy (eV for the cell shown) = -24.4

=====

(12)
A relaxed Cr2Fe5 crystal. Source: Alexandria, functional PBE-GGA.

abc: 2.8519 2.8519 10.0467
angles: 98.16 98.16 90.00
Last column: nearest neighbours and their distance in Å.
Fractional positions:
Fe: 0.0000 0.0000 0.0000  8 Fe 2.47
Fe: 0.8561 0.8561 0.7121  4 Cr 2.46, 4 Fe 2.46
Fe: 0.1439 0.1439 0.2879  4 Cr 2.46, 4 Fe 2.46
Cr: 0.7152 0.7152 0.4304  4 Cr 2.44, 4 Fe 2.46
Cr: 0.2848 0.2848 0.5696  4 Cr 2.44, 4 Fe 2.46
Fe: 0.4280 0.4280 0.8559  8 Fe 2.46-2.47
Fe: 0.5720 0.5720 0.1441  8 Fe 2.46-2.47

## Properties
- density (kg/m³) = 7949
- crystal system = tetragonal
- spin magnetization (μB/cell) = 10.5
- DFT total energy (eV for the cell shown) = -61.3

=====

(13)
A relaxed Re2TcCl crystal. Source: Alexandria, functional PBE-GGA.

abc: 5.6453 5.6453 6.4492
angles: 64.04 64.04 90.00
Last column: nearest neighbours and their distance in Å.
Fractional positions:
Re: 0.6112 0.1250 0.2500  2 Cl 2.32, 2 Tc 2.41
Re: 0.8750 0.8612 0.7500  2 Cl 2.32, 2 Tc 2.41
Re: 0.1388 0.6250 0.2500  2 Cl 2.32, 2 Tc 2.41
Tc: 0.0000 0.0000 0.0000  4 Re 2.41
Cl: 0.2500 0.7500 0.5000  4 Re 2.32
Re: 0.3750 0.3888 0.7500  2 Cl 2.32, 2 Tc 2.41
Cl: 0.5000 0.5000 0.0000  4 Re 2.32
Tc: 0.7500 0.2500 0.5000  4 Re 2.41

## Properties
- density (kg/m³) = 10407
- crystal system = tetragonal
- spin magnetization (μB/cell) = 0.0
- ΔE_f (raw) (eV per atom) = 1.406
- DFT total energy (eV for the cell shown) = -63.0

=====

(14)
A relaxed NbAg3Pd crystal. Source: Alexandria, functional PBE-GGA.

abc: 5.0908 5.0908 5.0908
angles: 90.00 90.00 90.00
Last column: nearest neighbours and their distance in Å.
Fractional positions:
Nb: 0.0000 0.0000 0.0000  6 Ag 2.55
Pd: 0.5000 0.5000 0.5000  12 Ag 3.60
Ag: 0.0000 0.0000 0.5000  2 Nb 2.55
Ag: 0.0000 0.5000 0.0000  2 Nb 2.55
Ag: 0.5000 0.0000 0.0000  2 Nb 2.55

## Properties
- density (kg/m³) = 6581
- crystal system = cubic
- spin magnetization (μB/cell) = 1.2
- DFT total energy (eV for the cell shown) = -15.6

=====

(15)
A relaxed Cs2Tl3Au2 crystal. Source: Alexandria, functional PBE-GGA.

abc: 4.6925 7.1937 9.1265
angles: 117.88 90.00 109.04
Last column: nearest neighbours and their distance in Å.
Fractional positions:
Tl: 0.6396 0.2792 0.4345  3 Au 2.99-3.11
Au: 0.1332 0.2663 0.2261  5 Tl 2.99-3.11
Cs: 0.8611 0.7223 0.2235  3 Au 3.69-3.90, 6 Tl 3.91-4.13
Au: 0.8668 0.7337 0.7739  5 Tl 2.99-3.11
Tl: 0.3604 0.7208 0.5655  3 Au 2.99-3.11
Tl: 0.5000 0.0000 0.0000  4 Au 3.06
Cs: 0.1389 0.2777 0.7765  3 Au 3.69-3.90, 6 Tl 3.91-4.13

## Properties
- density (kg/m³) = 8351
- crystal system = monoclinic
- spin magnetization (μB/cell) = 0.0
- DFT total energy (eV for the cell shown) = -16.5

=====

(16)
A relaxed La5Mg3 crystal. Source: Alexandria, functional PBE-GGA.

abc: 3.9592 3.9592 16.7236
angles: 90.00 90.00 90.00
Last column: nearest neighbours and their distance in Å.
Fractional positions:
La: 0.0000 0.0000 0.7654  4 Mg 3.41, 4 La 3.74
Mg: 0.5000 0.5000 0.8819  8 La 3.41-3.43
La: 0.0000 0.0000 0.2346  4 Mg 3.41, 4 La 3.74
Mg: 0.5000 0.5000 0.1181  8 La 3.41-3.43
La: 0.0000 0.0000 0.0000  8 Mg 3.43
La: 0.5000 0.5000 0.3826  4 Mg 3.42, 4 La 3.74
Mg: 0.0000 0.0000 0.5000  8 La 3.42
La: 0.5000 0.5000 0.6174  4 Mg 3.42, 4 La 3.74

## Properties
- density (kg/m³) = 4861
- crystal system = tetragonal
- spin magnetization (μB/cell) = 0.1
- DFT total energy (eV for the cell shown) = -30.0

=====

(17)
A relaxed ZnGaSb crystal. Source: Alexandria, functional PBE-GGA.

abc: 4.7764 4.0128 4.0128
angles: 120.00 90.00 90.00
Last column: nearest neighbours and their distance in Å.
Fractional positions:
Ga: 0.6804 0.6667 0.3333  3 Zn 2.75, 3 Sb 2.86
Sb: 0.3284 0.3333 0.6667  3 Zn 2.82, 3 Ga 2.86
Zn: 0.9912 0.0000 0.0000  3 Ga 2.75, 3 Sb 2.82

## Properties
- density (kg/m³) = 6404
- crystal system = trigonal
- spin magnetization (μB/cell) = 0.0
- ΔE_f (raw) (eV per atom) = 0.097
- DFT total energy (eV for the cell shown) = -8.1

=====

(18)
A relaxed Sm2GdTc crystal. Source: Alexandria, functional PBE-GGA.

abc: 3.5364 3.5364 8.8305
angles: 90.00 90.00 90.00
Last column: nearest neighbours and their distance in Å.
Fractional positions:
Gd: 0.5000 0.5000 0.5000  4 Gd 3.54, 8 Sm 3.71
Sm: 0.0000 0.0000 0.1897  4 Tc 3.01, 1 Sm 3.35
Tc: 0.5000 0.5000 0.0000  8 Sm 3.01
Sm: 0.0000 0.0000 0.8103  4 Tc 3.01, 1 Sm 3.35

## Properties
- density (kg/m³) = 8359
- crystal system = tetragonal
- spin magnetization (μB/cell) = 8.1
- DFT total energy (eV for the cell shown) = -33.5

=====

(19)
A relaxed Li2CoGe2 crystal. Source: Alexandria, functional PBE-GGA.

abc: 3.6786 3.6786 6.5899
angles: 73.79 73.79 90.00
Last column: nearest neighbours and their distance in Å.
Fractional positions:
Li: 0.4058 0.4058 0.1883  1 Li 2.28
Ge: 0.2500 0.7500 0.5000  4 Ge 2.60, 4 Li 2.64
Ge: 0.7500 0.2500 0.5000  4 Ge 2.60, 4 Li 2.64
Li: 0.5942 0.5942 0.8117  1 Li 2.28
Co: 0.0000 0.0000 0.0000  8 Li 2.84

## Properties
- density (kg/m³) = 4420
- crystal system = tetragonal
- spin magnetization (μB/cell) = 1.7
- DFT total energy (eV for the cell shown) = -18.0

=====

(20)
A relaxed TcGe2Ru2 crystal. Source: Alexandria, functional PBE-GGA.

abc: 7.1683 7.1683 2.9006
angles: 90.00 90.00 90.00
Last column: nearest neighbours and their distance in Å.
Fractional positions:
Tc: 0.5000 0.5000 0.0000  4 Ru 2.78, 2 Tc 2.90, 8 Ge 3.05
Ru: 0.8623 0.6377 0.0000  6 Ge 2.50-2.60, 2 Tc 2.78, 1 Ru 2.79
Ge: 0.3382 0.1618 0.5000  6 Ru 2.50-2.60
Ge: 0.8382 0.3382 0.5000  6 Ru 2.50-2.60
Ru: 0.3623 0.8623 0.0000  6 Ge 2.50-2.60, 2 Tc 2.78, 1 Ru 2.79
Ge: 0.6618 0.8382 0.5000  6 Ru 2.50-2.60
Ge: 0.1618 0.6618 0.5000  6 Ru 2.50-2.60
Ru: 0.1377 0.3623 0.0000  6 Ge 2.50-2.60, 2 Tc 2.78, 1 Ru 2.79
Tc: 0.0000 0.0000 0.0000  4 Ru 2.78, 2 Tc 2.90, 8 Ge 3.05
Ru: 0.6377 0.1377 0.0000  6 Ge 2.50-2.60, 2 Tc 2.78, 1 Ru 2.79

## Properties
- density (kg/m³) = 9925
- crystal system = tetragonal
- spin magnetization (μB/cell) = 2.9
- DFT total energy (eV for the cell shown) = -74.6